Material: Tm2Zn2Pd3
Method: DFT, PBE-GGA
State: optimized geometry

a = 4.338 Å, b = 5.211 Å, c = 7.398 Å
α = 105.09°, β = 106.79°, γ = 114.75°
Atoms (fractional coordinates):
Pd  0.563  0.891  0.238
Pd  0.000  0.000  0.000
Pd  0.437  0.109  0.762
Zn  0.694  0.805  0.579
Zn  0.306  0.195  0.421
Tm  0.164  0.535  0.794
Tm  0.836  0.465  0.206

Properties
Energy of formation from the pure elements ... -747 meV/atom